Record 1
CoTc2Rh: optimized geometry, PBE-GGA.

Calculated values
- DFT formation energy (meV per atom) = -10
- V (Å³ per cell) = 53.9
- E above lowest polymorph (meV per atom) = 69.6
- SG = Pmmm, No. 47

Lattice parameters (Å, degrees): 2.671 3.787 5.328 90.00 90.00 90.00
Each line ends with the local moment (μB).
Positions (direct):
Tc1 0.000 0.000 0.479  0.03
Tc2 0.000 0.000 0.021  0.03
Co1 0.500 0.500 0.250  0.61
Rh1 0.500 0.500 0.750  -0.03

Record 2
SrLa3Ru: optimized geometry, PBE-GGA.

Calculated values
- DFT formation energy (meV per atom) = -150
- V (Å³ per cell) = 186.2
- E above lowest polymorph (meV per atom) = 29.0
- SG = Pm-3m, No. 221

Lattice parameters (Å, degrees): 5.710 5.710 5.710 90.00 90.00 90.00
Positions (direct):
La1 0.000 0.000 0.500
La2 0.000 0.500 0.000
La3 0.500 0.000 0.000
Ru1 0.000 0.000 0.000
Sr1 0.500 0.500 0.500

Record 3
InPIr3: optimized geometry, PBE-GGA.

Calculated values
- DFT formation energy (meV per atom) = 2363
- V (Å³ per cell) = 114.9
- E above lowest polymorph (meV per atom) = 1990.4
- SG = Pm-3m, No. 221

Lattice parameters (Å, degrees): 4.862 4.862 4.862 90.00 90.00 90.00
Each line ends with the local moment (μB).
Positions (direct):
Ir1 0.000 0.500 0.000  0.71
Ir2 0.500 0.000 0.000  0.57
Ir3 0.000 0.000 0.500  0.59
In1 0.000 0.000 0.000  -0.02
P1 0.500 0.500 0.500  0.00

Record 4
K2NbIrCl: optimized geometry, PBE-GGA.

Calculated values
- uncorrected energy (eV per atom) = -3.360
- V (Å³ per cell) = 215.9
- SG = P4/mmm, No. 123

Lattice parameters (Å, degrees): 6.749 4.740 6.749 90.00 90.00 90.00
Each line ends with the local moment (μB).
Positions (direct):
K1 0.000 0.000 0.500  0.02
K2 0.500 0.000 0.000  0.03
Cl1 0.000 0.500 0.000  -0.04
Ir1 0.500 0.500 0.500  1.76
Nb1 0.000 0.000 0.000  2.73

Record 5
Pa3SeI7: optimized geometry, PBE-GGA.

Calculated values
- uncorrected energy (eV per atom) = -4.798
- V (Å³ per cell) = 478.8
- SG = P3m1, No. 156

Lattice parameters (Å, degrees): 7.998 8.315 8.315 120.00 90.00 90.00
Each line ends with the local moment (μB).
Positions (direct):
I1 0.530 0.327 0.163  -0.03
I2 0.013 0.163 0.325  -0.02
I3 0.530 0.837 0.163  -0.03
I4 0.050 0.667 0.333  -0.03
I5 0.013 0.675 0.837  -0.02
I6 0.530 0.837 0.673  -0.03
I7 0.013 0.163 0.837  -0.02
Pa1 0.777 0.986 0.493  1.60
Pa2 0.777 0.507 0.014  1.60
Pa3 0.777 0.507 0.493  1.60
Se1 0.605 0.333 0.667  -0.04

Record 6
LiHoErTe3: optimized geometry, PBE-GGA.

Calculated values
- uncorrected energy (eV per atom) = -4.613
- V (Å³ per cell) = 338.0
- SG = P2_1/m, No. 11

Lattice parameters (Å, degrees): 4.188 8.817 9.436 104.00 90.00 90.00
Positions (direct):
Er1 0.750 0.334 0.836
Er2 0.250 0.666 0.164
Li1 0.750 0.914 0.415
Li2 0.250 0.086 0.585
Te1 0.250 0.762 0.505
Te2 0.250 0.579 0.829
Te3 0.750 0.238 0.495
Te4 0.750 0.421 0.171
Te5 0.250 0.090 0.878
Te6 0.750 0.910 0.122
Ho1 0.750 0.814 0.768
Ho2 0.250 0.186 0.232